# 1
# Zn3Se

A relaxed Zn3Se crystal (PBE-GGA, the Alexandria database).

Cell lengths 4.225, 6.164, 6.364 Å; angles 92.98, 108.99, 90.16 degrees
Positions (direct):
Se 0.376 0.197 0.960
Zn 0.645 0.741 0.512
Zn 0.580 0.198 0.378
Se 0.860 0.738 0.930
Zn 0.446 0.596 0.107
Zn 0.790 0.339 0.785
Zn 0.113 0.470 0.444
Zn 0.114 0.971 0.448

Summary:
Spin magnetization, μB/cell: 0.0
Polymorph energy (0 for the lowest one), kJ per mole of atoms: 4.3
Uncorrected energy, eV/atom: -1.9482
E_form (uncorrected), eV/atom: -0.12

# 2
# Ba2LiGaHg6

A relaxed Ba2LiGaHg6 crystal (PBE-GGA, the Alexandria database).

Cell lengths 7.342, 7.569, 7.593 Å; angles 59.97, 58.90, 89.75 degrees
Positions (direct):
Ba 0.375 0.793 0.415
Hg 0.821 0.809 0.860
Hg 0.817 0.681 0.509
Hg 0.181 0.670 0.009
Ba 0.625 0.207 0.585
Li 0.500 0.500 0.000
Hg 0.819 0.330 0.991
Hg 0.183 0.319 0.491
Hg 0.179 0.191 0.140
Ga 0.000 0.000 0.000

Summary:
Spin magnetization, μB/cell: 0.0
Uncorrected energy, eV/atom: -1.3919
Formation energy from the elements, eV per atom: -0.332

# 3
# NaIn3Se4

A relaxed NaIn3Se4 crystal (PBE-GGA, the Alexandria database).

Cell lengths 6.875, 6.875, 7.426 Å; angles 117.58, 117.58, 90.00 degrees
Positions (direct):
Na 0.000 0.000 0.000
Se 0.601 0.143 0.744
Se 0.857 0.857 0.256
In 0.750 0.250 0.500
In 0.250 0.750 0.500
Se 0.399 0.399 0.256
In 0.500 0.500 0.000
Se 0.143 0.601 0.744

Summary:
Spin magnetization, μB/cell: 0.0
Uncorrected energy, eV/atom: -3.5051
E_form (uncorrected), eV/atom: -0.57

# 4
# Y5Ni2Se2

A relaxed Y5Ni2Se2 crystal (PBE-GGA, the Alexandria database).

Cell lengths 7.481, 7.488, 8.354 Å; angles 90.00, 63.40, 90.00 degrees
Positions (direct):
Y 0.000 0.000 0.000
Y 0.211 0.158 0.256
Y 0.289 0.658 0.744
Y 0.467 0.158 0.744
Ni 0.132 0.371 0.000
Ni 0.868 0.629 0.000
Y 0.789 0.842 0.744
Se 0.204 0.000 0.592
Ni 0.632 0.129 0.000
Y 0.500 0.500 0.000
Ni 0.368 0.871 0.000
Y 0.533 0.842 0.256
Y 0.711 0.342 0.256
Y 0.967 0.342 0.744
Y 0.033 0.658 0.256
Se 0.796 0.000 0.408
Se 0.296 0.500 0.408
Se 0.704 0.500 0.592

Summary:
Spin magnetization, μB/cell: 0.0
Uncorrected energy, eV/atom: -6.5855
E_form (uncorrected), eV/atom: -0.94

# 5
# Ac4In2Rh

A relaxed Ac4In2Rh crystal (PBE-GGA, the Alexandria database).

Cell lengths 4.937, 6.846, 8.407 Å; angles 74.05, 72.92, 68.86 degrees
Positions (direct):
Ac 0.923 0.799 0.356
Ac 0.332 0.269 0.067
Ac 0.077 0.201 0.644
Ac 0.668 0.731 0.933
In 0.365 0.613 0.657
Rh 0.000 0.000 0.000
In 0.635 0.387 0.343

Summary:
Spin magnetization, μB/cell: 0.0
Polymorph energy (0 for the lowest one), kJ per mole of atoms: 0.0
Uncorrected energy, eV/atom: -4.6248
Formation energy from the elements, eV per atom: -0.444

# 6
# TbCe2Au

A relaxed TbCe2Au crystal (PBE-GGA, the Alexandria database).

Cell lengths 3.739, 3.739, 8.163 Å; angles 90.00, 90.00, 90.00 degrees
Site moments in Bohr magnetons follow the coordinates.
Positions (direct):
Ce 0.000 0.000 0.209  0.77
Au 0.500 0.500 0.000  -0.01
Tb 0.500 0.500 0.500  0.10
Ce 0.000 0.000 0.791  0.77

Summary:
Spin magnetization, μB/cell: 2.0
Polymorph energy (0 for the lowest one), kJ per mole of atoms: 3.9
Uncorrected energy, eV/atom: -5.1493
Formation energy from the elements, eV per atom: -0.205

# 7
# ZnCrBiB2

A relaxed ZnCrBiB2 crystal (PBE-GGA, the Alexandria database).

Cell lengths 4.680, 5.134, 4.680 Å; angles 90.00, 90.00, 90.00 degrees
Positions (direct):
Bi 0.000 0.000 0.000
Zn 0.500 0.500 0.500
B 0.500 0.000 0.000
Cr 0.000 0.500 0.000
B 0.000 0.000 0.500

Summary:
Spin magnetization, μB/cell: 0.1
Uncorrected energy, eV/atom: -3.1277
Formation energy from the elements, eV per atom: 2.499

# 8
# Np3Hg5Se12

A relaxed Np3Hg5Se12 crystal (PBE-GGA, the Alexandria database).

Cell lengths 14.247, 14.247, 14.247 Å; angles 109.47, 109.47, 109.47 degrees
Site moments in Bohr magnetons follow the coordinates.
Positions (direct):
Np 0.125 0.250 0.875  3.54
Se 0.671 0.226 0.587  -0.10
Se 0.444 0.671 0.083  -0.10
Hg 0.125 0.750 0.375  -0.01
Hg 0.875 0.250 0.625  -0.01
Np 0.750 0.875 0.625  3.54
Se 0.583 0.944 0.671  -0.10
Se 0.226 0.671 0.087  -0.10
Se 0.413 0.274 0.329  -0.10
Se 0.861 0.274 0.444  -0.10
Se 0.361 0.944 0.774  -0.10
Se 0.583 0.639 0.413  -0.10
Se 0.944 0.583 0.171  -0.10
Se 0.056 0.639 0.726  -0.10
Se 0.917 0.829 0.556  -0.10
Hg 0.000 0.500 0.500  0.01
Se 0.913 0.083 0.639  -0.10
Se 0.139 0.413 0.083  -0.10
Se 0.417 0.056 0.329  -0.10
Se 0.139 0.726 0.556  -0.10
Hg 0.375 0.250 0.125  -0.01
Np 0.250 0.625 0.875  3.54
Np 0.750 0.375 0.125  3.54
Se 0.444 0.774 0.861  -0.10
Se 0.917 0.087 0.861  -0.10
Np 0.625 0.375 0.750  3.54
Hg 0.750 0.625 0.375  -0.01
Se 0.774 0.329 0.913  -0.10
Hg 0.375 0.125 0.750  -0.01
Hg 0.250 0.375 0.625  -0.01
Np 0.625 0.250 0.375  3.54
Se 0.087 0.171 0.226  -0.10
Hg 0.875 0.625 0.750  -0.01
Se 0.274 0.861 0.944  -0.10
Hg 0.500 0.500 0.500  0.01
Hg 0.500 0.000 0.000  0.01
Se 0.083 0.171 0.444  -0.10
Hg 0.000 0.500 0.000  0.01
Se 0.774 0.444 0.361  -0.10
Se 0.171 0.087 0.726  -0.10
Se 0.556 0.226 0.139  -0.10
Se 0.226 0.556 0.639  -0.10
Se 0.829 0.913 0.274  -0.10
Se 0.726 0.139 0.056  -0.10
Np 0.250 0.125 0.375  3.54
Se 0.639 0.583 0.913  -0.10
Np 0.375 0.750 0.625  3.54
Se 0.671 0.444 0.583  -0.10
Se 0.417 0.361 0.587  -0.10
Se 0.361 0.417 0.087  -0.10
Hg 0.750 0.125 0.875  -0.01
Se 0.587 0.726 0.671  -0.10
Se 0.639 0.056 0.226  -0.10
Se 0.726 0.587 0.171  -0.10
Se 0.861 0.587 0.917  -0.10
Hg 0.625 0.875 0.250  -0.01
Np 0.875 0.125 0.250  3.54
Np 0.375 0.625 0.250  3.54
Hg 0.125 0.375 0.250  -0.01
Se 0.274 0.413 0.829  -0.10
Se 0.556 0.329 0.917  -0.10
Se 0.829 0.917 0.056  -0.10
Se 0.329 0.556 0.417  -0.10
Se 0.056 0.417 0.829  -0.10
Se 0.587 0.861 0.417  -0.10
Se 0.913 0.829 0.774  -0.10
Se 0.083 0.913 0.139  -0.10
Hg 0.000 0.000 0.000  0.01
Hg 0.500 0.500 0.000  0.01
Se 0.171 0.083 0.944  -0.10
Se 0.944 0.361 0.274  -0.10
Hg 0.625 0.750 0.875  -0.01
Hg 0.250 0.875 0.125  -0.01
Hg 0.000 0.000 0.500  0.01
Se 0.087 0.917 0.361  -0.10
Se 0.329 0.774 0.413  -0.10
Hg 0.500 0.000 0.500  0.01
Np 0.125 0.875 0.750  3.54
Se 0.413 0.139 0.583  -0.10
Np 0.875 0.750 0.125  3.54

Summary:
Spin magnetization, μB/cell: 36.5
Uncorrected energy, eV/atom: -4.5119
E_form (uncorrected), eV/atom: -0.40

> Which of these has the highest uncorrected energy?

Ba2LiGaHg6